The following is a PBE+U calculation of crystalline Na3Cr2PtO6 at its relaxed geometry, from the Alexandria database.

```
Na3Cr2PtO6
1.0
5.3429 0.0866 -0.0475
-2.5951 4.6711 -0.0475
-0.9634 -1.6682 5.4158
Na Cr Pt O
3 2 1 6
Cartesian
-1.7893 3.0935 2.6604
3.5737 -0.0039 2.6604
0.8922 1.5448 2.6604
0.0679 3.1331 -0.0475
2.6798 1.6246 -0.0475
0.0000 0.0000 0.0000
2.6601 1.4884 4.2910
1.7249 2.9866 1.1141
-0.8757 1.6012 1.0297
-0.0402 3.0479 4.2910
0.0595 0.1030 4.2066
1.8246 0.0417 1.0297
```

size of the total moment = 0.5833 μB/atom
E = -6.079 eV/atom